1.
# Hg4Ru5, optimized geometry, DFT PBE-GGA
data_Hg4Ru5
_chemical_formula_sum 'Hg8 Ru10'
_symmetry_space_group_name_H-M 'I 4/m m m'
_symmetry_Int_Tables_number 139
_symmetry_space_group_name_Hall '-I 4 2'
_cell_length_a 8.611
_cell_length_b 8.611
_cell_length_c 4.234
_cell_angle_alpha 90.00
_cell_angle_beta 90.00
_cell_angle_gamma 90.00
loop_
_atom_site_label
_atom_site_fract_x
_atom_site_fract_y
_atom_site_fract_z
Hg1 0.000 0.320 0.000
Ru1 0.000 0.000 0.000
Ru2 0.146 0.146 0.500
# DFT formation energy	581	meV per atom
# total DFT energy (no corrections)	-84.71	eV for the cell shown



2.
# HgRu8, optimized geometry, DFT PBE-GGA
data_HgRu8
_chemical_formula_sum 'Hg2 Ru16'
_symmetry_space_group_name_H-M 'I 4/m m m'
_symmetry_Int_Tables_number 139
_symmetry_space_group_name_Hall '-I 4 2'
_cell_length_a 8.261
_cell_length_b 8.261
_cell_length_c 3.861
_cell_angle_alpha 90.00
_cell_angle_beta 90.00
_cell_angle_gamma 90.00
loop_
_atom_site_label
_atom_site_fract_x
_atom_site_fract_y
_atom_site_fract_z
Hg1 0.000 0.000 0.000
Ru1 0.000 0.344 0.000
Ru2 0.177 0.177 0.500
# DFT formation energy	221	meV per atom
# total DFT energy (no corrections)	-145.04	eV for the cell shown



What is the total DFT energy (no corrections) in the first record? -84.71 eV for the cell shown